Computed, not measured: a relaxed structure of Al2AgPb2 at the PBE level of DFT.

a = 6.9598 Å, b = 6.9598 Å, c = 4.9160 Å
α = 90.00°, β = 90.00°, γ = 90.00°
Positions (direct):
Al: 0.1373 0.3627 0.0000
Al: 0.3627 0.8627 0.0000
Al: 0.6373 0.1373 0.0000
Al: 0.8627 0.6373 0.0000
Ag: 0.0000 0.0000 0.0000
Ag: 0.5000 0.5000 0.0000
Pb: 0.1775 0.6775 0.5000
Pb: 0.3225 0.1775 0.5000
Pb: 0.6775 0.8225 0.5000
Pb: 0.8225 0.3225 0.5000

Results
The formation energy is 14.51 kJ per mole of atoms. The value obtained for the energy relative to the lowest polymorph listed for this composition is 0 meV per atom. The volume comes out at 23.81 Å³ per atom.

Computed, not measured: a relaxed structure of AlAgPb2 at the PBE level of DFT.

a = 4.8967 Å, b = 4.9109 Å, c = 8.2446 Å
α = 90.00°, β = 90.00°, γ = 90.00°
Positions (direct):
Al: 0.0000 0.0000 0.0000
Al: 0.5000 0.5000 0.5000
Ag: 0.0000 0.0000 0.5000
Ag: 0.5000 0.5000 0.0000
Pb: 0.0000 0.5000 0.2500
Pb: 0.0000 0.5000 0.7500
Pb: 0.5000 0.0000 0.2500
Pb: 0.5000 0.0000 0.7500

Results
The formation energy is 19.33 kJ per mole of atoms. The volume comes out at 24.78 Å³ per atom.

Computed, not measured: a relaxed structure of Al2AgPb2 at the PBE level of DFT.

a = 3.7664 Å, b = 3.7664 Å, c = 17.4270 Å
α = 90.00°, β = 90.00°, γ = 90.00°
Positions (direct):
Al: 0.0000 0.5000 0.2500
Al: 0.0000 0.5000 0.7500
Al: 0.5000 0.0000 0.2500
Al: 0.5000 0.0000 0.7500
Ag: 0.0000 0.0000 0.0000
Ag: 0.5000 0.5000 0.5000
Pb: 0.0000 0.0000 0.3976
Pb: 0.0000 0.0000 0.6024
Pb: 0.5000 0.5000 0.1024
Pb: 0.5000 0.5000 0.8976

Results
The formation energy is 21.61 kJ per mole of atoms. The value obtained for the energy relative to the lowest polymorph listed for this composition is 74 meV per atom. The volume comes out at 24.72 Å³ per atom.

What did we get for Fermi-level density of states? Answer: 6.0; 4.0; 3.6 states/eV per cell, in the order shown.
What did we get for size of the total moment? Answer: 0.0; 0.0; 0.0 μB per cell, in the order shown.